# Ho2MnSi3Ni12, optimized geometry, DFT PBE
data_Ho2MnSi3Ni12
_symmetry_space_group_name_H-M 'R -3 m'
_symmetry_Int_Tables_number 166
_symmetry_space_group_name_Hall '-R 3 2"'
_cell_length_a 6.0240
_cell_length_b 6.0240
_cell_length_c 24.6655
_cell_angle_alpha 90.00
_cell_angle_beta 90.00
_cell_angle_gamma 120.00
loop_
_atom_site_label
_atom_site_type_symbol
_atom_site_fract_x
_atom_site_fract_y
_atom_site_fract_z
Ho1 Ho 0.0000 0.0000 0.1492
Mn1 Mn 0.0000 0.0000 0.5000
Si1 Si 0.0000 0.5000 0.0000
Ni1 Ni 0.0450 0.5225 0.0960
Ni2 Ni 0.0650 0.5325 0.6220
# - energy relative to the elements, uncorrected (eV per atom) = -0.072
# - total DFT energy (no corrections) (eV/atom) = -5.85


# HoThMnNi, optimized geometry, DFT PBE
data_HoThMnNi
_symmetry_space_group_name_H-M 'F -4 3 m'
_symmetry_Int_Tables_number 216
_symmetry_space_group_name_Hall 'F -4 2 3'
_cell_length_a 6.9397
_cell_length_b 6.9397
_cell_length_c 6.9397
_cell_angle_alpha 90.00
_cell_angle_beta 90.00
_cell_angle_gamma 90.00
loop_
_atom_site_label
_atom_site_type_symbol
_atom_site_fract_x
_atom_site_fract_y
_atom_site_fract_z
Ho1 Ho 0.0000 0.0000 0.0000
Th1 Th 0.0000 0.0000 0.5000
Mn1 Mn 0.2500 0.2500 0.2500
Ni1 Ni 0.2500 0.2500 0.7500
# - formation energy from the elements (meV/atom) = -12
# - total DFT energy (no corrections) (eV/atom) = -6.75


# HoNpMn17, optimized geometry, DFT PBE
data_HoNpMn17
_symmetry_space_group_name_H-M 'R 3 m'
_symmetry_Int_Tables_number 160
_symmetry_space_group_name_Hall 'R 3 -2"'
_cell_length_a 8.5822
_cell_length_b 8.5822
_cell_length_c 11.5688
_cell_angle_alpha 90.00
_cell_angle_beta 90.00
_cell_angle_gamma 120.00
loop_
_atom_site_label
_atom_site_type_symbol
_atom_site_fract_x
_atom_site_fract_y
_atom_site_fract_z
Ho1 Ho 0.0000 0.0000 0.0000
Np1 Np 0.0000 0.0000 0.7117
Mn1 Mn 0.0000 0.0000 0.2531
Mn2 Mn 0.0000 0.0000 0.4540
Mn3 Mn 0.0004 0.2738 0.3520
Mn4 Mn 0.9998 0.4999 0.4875
Mn5 Mn 0.0032 0.5016 0.8510
Mn6 Mn 0.0220 0.5110 0.2225
# - formation energy from the elements (meV/atom) = 45
# - total DFT energy (no corrections) (eV/atom) = -9.08